This record from Alexandria via LeMat-Bulk describes HoEr3Ir3 after structural relaxation. The functional is PBE.

abc: 6.940 6.940 6.541
angles: 89.98 89.98 90.27
Fractional positions:
Er (0.755, 0.755, 0.500)
Er (0.243, 0.757, 0.000)
Er (0.755, 0.245, 0.500)
Er (0.245, 0.755, 0.500)
Er (0.757, 0.243, 0.000)
Er (0.245, 0.245, 0.500)
Ho (0.753, 0.753, 0.000)
Ho (0.247, 0.247, 0.000)
Ir (0.000, 0.000, 0.750)
Ir (0.000, 0.500, 0.749)
Ir (0.500, 0.000, 0.251)
Ir (0.000, 0.500, 0.251)
Ir (0.000, 0.000, 0.250)
Ir (0.500, 0.000, 0.749)

The value obtained for the theoretical density is 13.1 g cm⁻³. The energy of formation from the pure elements comes out at -0.761 eV/atom. Its relative energy among the computed polymorphs is 17 meV/atom. The calculation puts the total magnetization at 0.00 μB per cell. The value obtained for the volume is 22.50 Å³ per atom. The value obtained for the raw total energy is -7.17 eV per atom.